[1]
# NiI2NO | Alexandria | PBE+U | relaxed
data_NiI2NO
_cell_length_a 5.124
_cell_length_b 5.124
_cell_length_c 3.536
_cell_angle_alpha 90.00
_cell_angle_beta 90.00
_cell_angle_gamma 90.00
_space_group_name_H-M_alt 'P 1'
_space_group_IT_number 1
loop_
_space_group_symop_operation_xyz
'x,y,z'
loop_
_atom_site_label
_atom_site_fract_x
_atom_site_fract_y
_atom_site_fract_z
Ni1 0.000 0.000 0.000
I1 0.000 0.500 0.500
I2 0.500 0.000 0.500
N1 0.500 0.500 0.500
O1 0.500 0.500 0.000
# **Calculated density**: 6.12 g/cm3
# **Offset from the most stable computed form**: 0.077 eV/atom
# **Total magnetic moment**: 1.05 Bohr magnetons per cell

***

[2]
# NiI2NO | Alexandria | PBE+U | relaxed
data_NiI2NO
_cell_length_a 5.283
_cell_length_b 5.283
_cell_length_c 3.444
_cell_angle_alpha 90.00
_cell_angle_beta 90.00
_cell_angle_gamma 90.00
_space_group_name_H-M_alt 'P 1'
_space_group_IT_number 1
loop_
_space_group_symop_operation_xyz
'x,y,z'
loop_
_atom_site_label
_atom_site_fract_x
_atom_site_fract_y
_atom_site_fract_z
Ni1 0.000 0.000 0.000
I1 0.000 0.500 0.000
I2 0.500 0.000 0.000
N1 0.000 0.000 0.500
O1 0.500 0.500 0.500
# **Calculated density**: 5.92 g/cm3
# **Offset from the most stable computed form**: 0.134 eV/atom
# **Total magnetic moment**: 0.73 Bohr magnetons per cell